The following is a DFT calculation (PBE-GGA) of a geometry-optimized Ag2PbCl structure.

```
4
Lattice="3.462 -0.051 0.000 -1.239 3.233 0.000 0.000 0.000 8.338" Properties=species:S:1:pos:R:3 pbc="T T T"
Ag 0.000 0.000 4.018
Cl 1.111 1.591 2.084
Ag 0.000 0.000 0.151
Pb 1.111 1.591 6.253
```

Values from the calculation:
Calculated total energy = -2.8709 eV/atom
Formation energy (no corrections) = -0.0565 eV/atom
Total magnetization = 0.00 μB/cell